# 1
Tb2PrSm3Te6: relaxed, PBE.

a = 9.9043 Å, b = 9.9043 Å, c = 8.9229 Å
α = 102.64°, β = 102.64°, γ = 25.73°
Closest atoms and distances in Å follow each position.
Atoms (fractional coordinates):
Tb: 0.1648 0.1648 0.3303  6 Te 3.05-3.13
Tb: 0.8352 0.8352 0.6697  6 Te 3.05-3.13
Pr: 0.5000 0.5000 0.0000  6 Te 3.17-3.21
Sm: 0.1618 0.1618 0.8328  6 Te 3.10-3.18
Sm: 0.5000 0.5000 0.5000  6 Te 3.11-3.18
Sm: 0.8382 0.8382 0.1672  6 Te 3.10-3.18
Te: 0.0029 0.0029 0.2563  1 Tb 3.05, 3 Sm 3.10-3.11, 2 Pr 3.17
Te: 0.3294 0.3294 0.9108  2 Tb 3.10, 3 Sm 3.15, 1 Pr 3.21
Te: 0.3310 0.3310 0.4198  3 Tb 3.12-3.13, 3 Sm 3.18
Te: 0.6690 0.6690 0.5802  3 Tb 3.12-3.13, 3 Sm 3.18
Te: 0.6706 0.6706 0.0892  2 Tb 3.10, 3 Sm 3.15, 1 Pr 3.21
Te: 0.9971 0.9971 0.7437  1 Tb 3.05, 3 Sm 3.10-3.11, 2 Pr 3.17

Properties
* total DFT energy (no corrections): -63.5 eV for the cell shown
* space group: C2/m
* E_form (uncorrected): -1.368 eV per atom

# 2
TiSe2F: relaxed, PBE.

a = 2.9730 Å, b = 2.9730 Å, c = 27.3181 Å
α = 90.00°, β = 90.00°, γ = 120.00°
Closest atoms and distances in Å follow each position.
Atoms (fractional coordinates):
Ti: 0.0000 0.0000 0.0000  2 Se 2.54
Ti: 0.3333 0.6667 0.6667  2 Se 2.54
Ti: 0.6667 0.3333 0.3333  2 Se 2.54
Se: 0.0000 0.0000 0.0928  1 Ti 2.54, 3 F 2.65
Se: 0.0000 0.0000 0.9072  1 Ti 2.54, 3 F 2.65
Se: 0.3333 0.6667 0.5738  1 Ti 2.54, 3 F 2.65
Se: 0.3333 0.6667 0.7595  1 Ti 2.54, 3 F 2.65
Se: 0.6667 0.3333 0.2405  1 Ti 2.54, 3 F 2.65
Se: 0.6667 0.3333 0.4262  1 Ti 2.54, 3 F 2.65
F: 0.0000 0.0000 0.5000  6 Se 2.65
F: 0.3333 0.6667 0.1667  6 Se 2.65
F: 0.6667 0.3333 0.8333  6 Se 2.65

Properties
* total DFT energy (no corrections): -50.6 eV for the cell shown
* space group: R-3m
* energy above the most stable polymorph in this dataset: 1046 meV/atom
* E_form (uncorrected): -0.032 eV per atom

# 3
KGa2FeRe: relaxed, PBE.

a = 4.9851 Å, b = 4.9851 Å, c = 4.7115 Å
α = 90.00°, β = 90.00°, γ = 90.00°
Closest atoms and distances in Å follow each position.
Atoms (fractional coordinates):
K: 0.0000 0.0000 0.0000  8 Ga 3.43, 4 Fe 3.52
Ga: 0.0000 0.5000 0.5000  2 Re 2.49
Ga: 0.5000 0.0000 0.5000  2 Re 2.49
Fe: 0.5000 0.5000 0.0000  2 Re 2.36
Re: 0.5000 0.5000 0.5000  2 Fe 2.36, 4 Ga 2.49

Properties
* total DFT energy (no corrections): -25.7 eV for the cell shown
* space group: P4/mmm

# 4
Cu4Ni3Au2: relaxed, PBE.

a = 4.5445 Å, b = 4.5445 Å, c = 7.9189 Å
α = 106.58°, β = 106.58°, γ = 48.60°
Closest atoms and distances in Å follow each position.
Atoms (fractional coordinates):
Cu: 0.0047 0.0047 0.3424  3 Cu 2.52-2.69, 6 Ni 2.56-2.70, 3 Au 2.64-2.65
Cu: 0.3346 0.3346 0.1112  4 Ni 2.63-2.65, 4 Au 2.63-2.65, 4 Cu 2.65-2.69
Cu: 0.6654 0.6654 0.8888  4 Ni 2.63-2.65, 4 Au 2.63-2.65, 4 Cu 2.65-2.69
Cu: 0.9953 0.9953 0.6576  3 Cu 2.52-2.69, 6 Ni 2.56-2.70, 3 Au 2.64-2.65
Ni: 0.0000 0.0000 0.0000  8 Cu 2.63-2.70, 4 Au 2.66
Ni: 0.3402 0.3402 0.4480  3 Ni 2.51-2.68, 6 Cu 2.56-2.65, 3 Au 2.62-2.66
Ni: 0.6598 0.6598 0.5520  3 Ni 2.51-2.68, 6 Cu 2.56-2.65, 3 Au 2.62-2.66
Au: 0.3308 0.3308 0.7750  5 Ni 2.62-2.66, 7 Cu 2.63-2.65
Au: 0.6692 0.6692 0.2250  5 Ni 2.62-2.66, 7 Cu 2.63-2.65

Properties
* total DFT energy (no corrections): -40.1 eV for the cell shown
* space group: C2/m

# 5
InAgPtSe2: relaxed, PBE.

a = 5.1713 Å, b = 5.1713 Å, c = 5.1671 Å
α = 90.00°, β = 90.00°, γ = 90.00°
Closest atoms and distances in Å follow each position.
Atoms (fractional coordinates):
In: 0.0000 0.0000 0.0000  2 Ag 2.58, 4 Se 2.59
Ag: 0.0000 0.0000 0.5000  2 In 2.58
Pt: 0.5000 0.5000 0.5000  8 Se 3.66, 4 Ag 3.66
Se: 0.0000 0.5000 0.0000  2 In 2.59
Se: 0.5000 0.0000 0.0000  2 In 2.59

Properties
* total DFT energy (no corrections): -13.4 eV for the cell shown
* space group: P4/mmm
* E_form (uncorrected): 1.031 eV per atom

# 6
FeMo3H: relaxed, PBE.

a = 4.4504 Å, b = 4.4504 Å, c = 4.4504 Å
α = 90.00°, β = 90.00°, γ = 90.00°
Closest atoms and distances in Å follow each position.
Atoms (fractional coordinates):
Fe: 0.0000 0.0000 0.0000  6 Mo 2.23
Mo: 0.0000 0.0000 0.5000  2 Fe 2.23
Mo: 0.0000 0.5000 0.0000  2 Fe 2.23
Mo: 0.5000 0.0000 0.0000  2 Fe 2.23
H: 0.5000 0.5000 0.5000  12 Mo 3.15

Properties
* total DFT energy (no corrections): -34.9 eV for the cell shown
* space group: Pm-3m
* energy above the most stable polymorph in this dataset: 1633 meV/atom

# 7
CdTeCl2: relaxed, PBE.

a = 3.4216 Å, b = 4.6625 Å, c = 6.1307 Å
α = 90.00°, β = 90.00°, γ = 90.00°
Closest atoms and distances in Å follow each position.
Atoms (fractional coordinates):
Cd: 0.0000 0.0000 0.0000  4 Cl 2.89
Te: 0.5000 0.0000 0.5000  4 Cl 2.89
Cl: 0.0000 0.5000 0.5000  4 Te 2.89
Cl: 0.5000 0.5000 0.0000  4 Cd 2.89

Properties
* total DFT energy (no corrections): -8.7 eV for the cell shown
* space group: Pmmm
* energy above the most stable polymorph in this dataset: 300 meV/atom
* E_form (uncorrected): -0.240 eV per atom

# 8
FeReB: relaxed, PBE.

a = 2.9432 Å, b = 8.4819 Å, c = 4.9007 Å
α = 90.00°, β = 90.00°, γ = 90.00°
Closest atoms and distances in Å follow each position.
Atoms (fractional coordinates):
Fe: 0.0000 0.0000 0.0000  4 B 2.06
Fe: 0.0000 0.0000 0.5000  4 B 2.06
Fe: 0.5000 0.5000 0.0000  4 B 2.06
Fe: 0.5000 0.5000 0.5000  4 B 2.06
Re: 0.0000 0.2835 0.2500  2 B 2.20
Re: 0.0000 0.7165 0.7500  2 B 2.20
Re: 0.5000 0.2165 0.7500  2 B 2.20
Re: 0.5000 0.7835 0.2500  2 B 2.20
B: 0.0000 0.4099 0.7500  4 Fe 2.06, 2 Re 2.20
B: 0.0000 0.5901 0.2500  4 Fe 2.06, 2 Re 2.20
B: 0.5000 0.0901 0.2500  4 Fe 2.06, 2 Re 2.20
B: 0.5000 0.9099 0.7500  4 Fe 2.06, 2 Re 2.20

Properties
* total DFT energy (no corrections): -113.0 eV for the cell shown
* space group: Cmcm

# 9
SrMnZnBi2: relaxed, PBE.

a = 6.1417 Å, b = 6.1417 Å, c = 5.6758 Å
α = 90.00°, β = 90.00°, γ = 90.00°
Closest atoms and distances in Å follow each position.
Atoms (fractional coordinates):
Sr: 0.0000 0.0000 0.0000  2 Zn 2.84, 4 Bi 3.07
Mn: 0.5000 0.5000 0.5000  8 Bi 4.18, 4 Zn 4.34
Zn: 0.0000 0.0000 0.5000  2 Sr 2.84
Bi: 0.0000 0.5000 0.0000  2 Sr 3.07
Bi: 0.5000 0.0000 0.0000  2 Sr 3.07

Properties
* total DFT energy (no corrections): -14.8 eV for the cell shown
* space group: P4/mmm

# 10
NdDy5Y2Sc: relaxed, PBE.

a = 10.2281 Å, b = 10.2281 Å, c = 10.4129 Å
α = 90.00°, β = 90.00°, γ = 148.27°
Closest atoms and distances in Å follow each position.
Atoms (fractional coordinates):
Nd: 0.0860 0.9140 0.5000  5 Dy 3.02-3.24
Nd: 0.9140 0.0860 0.0000  5 Dy 3.02-3.24
Dy: 0.0186 0.9814 0.7836  2 Nd 3.05-3.24
Dy: 0.1223 0.8777 0.0647  4 Y 3.52-3.58, 1 Sc 3.55, 4 Dy 3.57-3.69
Dy: 0.2020 0.7980 0.7495  4 Dy 3.39-3.64, 3 Sc 3.43-3.78, 1 Nd 3.46, 3 Y 3.51-3.65
Dy: 0.2219 0.7781 0.3654  1 Nd 3.02, 1 Y 3.28
Dy: 0.4802 0.5198 0.0651  2 Nd 3.16, 3 Y 3.35-3.50, 1 Sc 3.49
Dy: 0.5198 0.4802 0.5651  2 Nd 3.16, 3 Y 3.35-3.50, 1 Sc 3.49
Dy: 0.7781 0.2219 0.8654  1 Nd 3.02, 1 Y 3.28
Dy: 0.7980 0.2020 0.2495  4 Dy 3.39-3.64, 3 Sc 3.43-3.78, 1 Nd 3.46, 3 Y 3.51-3.65
Dy: 0.8777 0.1223 0.5647  4 Y 3.52-3.58, 1 Sc 3.55, 4 Dy 3.57-3.69
Dy: 0.9814 0.0186 0.2836  2 Nd 3.05-3.24
Y: 0.3866 0.6134 0.7789  1 Sc 3.35, 7 Dy 3.44-3.65, 2 Nd 3.66
Y: 0.3885 0.6115 0.3601  9 Dy 3.28-3.56, 1 Sc 3.56
Y: 0.6115 0.3885 0.8601  9 Dy 3.28-3.56, 1 Sc 3.56
Y: 0.6134 0.3866 0.2789  1 Sc 3.35, 7 Dy 3.44-3.65, 2 Nd 3.66
Sc: 0.3029 0.6971 0.0588  2 Y 3.35-3.56, 7 Dy 3.43-3.57, 2 Nd 3.60
Sc: 0.6971 0.3029 0.5588  2 Y 3.35-3.56, 7 Dy 3.43-3.57, 2 Nd 3.60

Properties
* total DFT energy (no corrections): -91.0 eV for the cell shown
* space group: Cmc2_1

# 11
Rb2FeRe2: relaxed, PBE.

a = 3.5245 Å, b = 3.5245 Å, c = 23.7846 Å
α = 90.00°, β = 90.00°, γ = 90.00°
Closest atoms and distances in Å follow each position.
Atoms (fractional coordinates):
Rb: 0.0000 0.0000 0.1145  4 Rb 3.52, 4 Re 3.67, 4 Fe 3.69
Rb: 0.0000 0.0000 0.8855  4 Rb 3.52, 4 Re 3.67, 4 Fe 3.69
Rb: 0.5000 0.5000 0.3855  4 Rb 3.52, 4 Re 3.67, 4 Fe 3.69
Rb: 0.5000 0.5000 0.6145  4 Rb 3.52, 4 Re 3.67, 4 Fe 3.69
Fe: 0.0000 0.0000 0.5000  4 Fe 3.52, 8 Rb 3.69
Fe: 0.5000 0.5000 0.0000  4 Fe 3.52, 8 Rb 3.69
Re: 0.0000 0.5000 0.2500  4 Re 2.49
Re: 0.0000 0.5000 0.7500  4 Re 2.49
Re: 0.5000 0.0000 0.2500  4 Re 2.49
Re: 0.5000 0.0000 0.7500  4 Re 2.49

Properties
* total DFT energy (no corrections): -56.7 eV for the cell shown
* space group: I4/mmm
* energy above the most stable polymorph in this dataset: 0 meV/atom

# 12
CsNaSrLi: relaxed, PBE.

a = 9.3920 Å, b = 9.3920 Å, c = 9.3920 Å
α = 90.00°, β = 90.00°, γ = 90.00°
Closest atoms and distances in Å follow each position.
Atoms (fractional coordinates):
Cs: 0.0000 0.0000 0.0000  4 Na 4.07, 4 Li 4.07
Cs: 0.0000 0.5000 0.5000  4 Na 4.07, 4 Li 4.07
Cs: 0.5000 0.0000 0.5000  4 Na 4.07, 4 Li 4.07
Cs: 0.5000 0.5000 0.0000  4 Na 4.07, 4 Li 4.07
Na: 0.2500 0.2500 0.2500  4 Sr 4.07, 4 Cs 4.07
Na: 0.2500 0.7500 0.7500  4 Sr 4.07, 4 Cs 4.07
Na: 0.7500 0.2500 0.7500  4 Sr 4.07, 4 Cs 4.07
Na: 0.7500 0.7500 0.2500  4 Sr 4.07, 4 Cs 4.07
Sr: 0.0000 0.0000 0.5000  4 Li 4.07, 4 Na 4.07
Sr: 0.0000 0.5000 0.0000  4 Li 4.07, 4 Na 4.07
Sr: 0.5000 0.0000 0.0000  4 Li 4.07, 4 Na 4.07
Sr: 0.5000 0.5000 0.5000  4 Li 4.07, 4 Na 4.07
Li: 0.2500 0.2500 0.7500  4 Sr 4.07, 4 Cs 4.07
Li: 0.2500 0.7500 0.2500  4 Sr 4.07, 4 Cs 4.07
Li: 0.7500 0.2500 0.2500  4 Sr 4.07, 4 Cs 4.07
Li: 0.7500 0.7500 0.7500  4 Sr 4.07, 4 Cs 4.07

Properties
* total DFT energy (no corrections): -20.5 eV for the cell shown
* space group: F-43m